Record 1
Tm2SbPb: relaxed, PBE.

The space group is P4/mmm (No. 123) and the conventional cell measures 3.966, 3.966 and 6.852 Å, with angles of 90.00, 90.00 and 90.00 degrees. The distinct sites, in fractional coordinates, are Tm at (0.000, 0.000, 0.241), Sb at (0.500, 0.500, 0.000) and Pb at (0.500, 0.500, 0.500).

As for the crystal system: tetragonal. The calculation puts the excess energy over the best structure of this formula in the dataset at 0.134 eV per atom. As for the density: 10.3 Mg/m³. As for the uncorrected formation energy: -553 meV per atom.

Record 2
Tm3SbPb: relaxed, PBE.

The space group is Cmmm (No. 65) and the conventional cell measures 8.089, 16.334 and 4.918 Å, with angles of 90.00, 90.00 and 90.00 degrees. The distinct sites, in fractional coordinates, are Tm at (0.000, 0.198, 0.000), Tm at (0.189, 0.500, 0.500), Tm at (0.250, 0.250, 0.500), Sb at (0.000, 0.383, 0.000) and Pb at (0.000, 0.099, 0.500).

As for the crystal system: orthorhombic. As for the density: 8.5 Mg/m³. As for the uncorrected formation energy: -40 meV per atom.

Record 3
Tm5Sb2Pb2: relaxed, PBE.

The space group is Cmce (No. 64) and the conventional cell measures 15.252, 8.118 and 8.150 Å, with angles of 90.00, 90.00 and 90.00 degrees. The distinct sites, in fractional coordinates, are Tm at (0.000, 0.000, 0.000), Tm at (0.137, 0.163, 0.340), Sb at (0.202, 0.000, 0.000) and Pb at (0.000, 0.142, 0.642).

As for the crystal system: orthorhombic. The calculation puts the excess energy over the best structure of this formula in the dataset at 0.000 eV per atom. As for the density: 9.9 Mg/m³. As for the uncorrected formation energy: -723 meV per atom.

Record 4
Tm8SbPb2: relaxed, PBE.

The space group is C2/m (No. 12) and the conventional cell measures 19.191, 4.901 and 6.972 Å, with angles of 90.00, 99.51 and 90.00 degrees. The distinct sites, in fractional coordinates, are Tm at (0.015, 0.000, 0.251), Tm at (0.094, 0.500, 0.996), Tm at (0.158, 0.500, 0.530), Tm at (0.215, 0.000, 0.848), Sb at (0.000, 0.500, 0.500) and Pb at (0.180, 0.000, 0.280).

As for the crystal system: monoclinic. As for the density: 9.7 Mg/m³. As for the uncorrected formation energy: -302 meV per atom.

Record 5
USb2Pb: relaxed, PBE.

The space group is R3m (No. 160, hexagonal axes) and the conventional cell measures 4.4107, 4.4107 and 23.2187 Å, with angles of 90.00, 90.00 and 120.00 degrees. The distinct sites, in fractional coordinates, are U at (0.0000, 0.0000, 0.0000), Sb at (0.0000, 0.0000, 0.4089), Sb at (0.0000, 0.0000, 0.5920) and Pb at (0.0000, 0.0000, 0.8299).

As for the crystal system: trigonal. The calculation puts the excess energy over the best structure of this formula in the dataset at 0.123 eV per atom. As for the density: 8.8 Mg/m³. As for the uncorrected formation energy: 15 meV per atom.

Record 6
USb2Pb: relaxed, PBE.

The space group is R-3m (No. 166, hexagonal axes) and the conventional cell measures 3.3023, 3.3023 and 35.4608 Å, with angles of 90.00, 90.00 and 120.00 degrees. The distinct sites, in fractional coordinates, are U at (0.0000, 0.0000, 0.0000), Sb at (0.0000, 0.0000, 0.4077) and Pb at (0.0000, 0.0000, 0.5000).

As for the crystal system: trigonal. The calculation puts the excess energy over the best structure of this formula in the dataset at 0.146 eV per atom. As for the density: 10.2 Mg/m³. As for the uncorrected formation energy: 38 meV per atom.

Record 7
USbPb: relaxed, PBE.

The space group is Fmmm (No. 69) and the conventional cell measures 6.332, 10.695 and 11.251 Å, with angles of 90.00, 90.00 and 90.00 degrees. The distinct sites, in fractional coordinates, are U at (0.190, 0.000, 0.000), Sb at (0.000, 0.235, 0.500) and Pb at (0.000, 0.000, 0.265).

As for the crystal system: orthorhombic. As for the density: 9.9 Mg/m³. As for the uncorrected formation energy: 86 meV per atom.

Record 8
USb2Pb: relaxed, PBE.

The space group is P4/mmm (No. 123) and the conventional cell measures 5.084, 5.084 and 4.143 Å, with angles of 90.00, 90.00 and 90.00 degrees. The distinct sites, in fractional coordinates, are U at (0.000, 0.000, 0.000), Sb at (0.000, 0.500, 0.500) and Pb at (0.500, 0.500, 0.000).

As for the crystal system: tetragonal. The calculation puts the excess energy over the best structure of this formula in the dataset at 0.029 eV per atom. As for the density: 10.7 Mg/m³. As for the uncorrected formation energy: -79 meV per atom.

Record 9
USb2Pb: relaxed, PBE.

The space group is P4/mmm (No. 123) and the conventional cell measures 4.055, 4.055 and 6.641 Å, with angles of 90.00, 90.00 and 90.00 degrees. The distinct sites, in fractional coordinates, are U at (0.000, 0.000, 0.000), Sb at (0.500, 0.500, 0.228) and Pb at (0.000, 0.000, 0.500).

As for the crystal system: tetragonal. The calculation puts the excess energy over the best structure of this formula in the dataset at 0.000 eV per atom. As for the density: 10.5 Mg/m³. As for the uncorrected formation energy: -108 meV per atom.

Record 10
USbPb2: relaxed, PBE.

The space group is P4/mmm (No. 123) and the conventional cell measures 4.609, 4.609 and 5.137 Å, with angles of 90.00, 90.00 and 90.00 degrees. The distinct sites, in fractional coordinates, are U at (0.000, 0.000, 0.000), Sb at (0.500, 0.500, 0.000) and Pb at (0.000, 0.500, 0.500).

As for the crystal system: tetragonal. As for the density: 11.8 Mg/m³. As for the uncorrected formation energy: 34 meV per atom.

Record 11
VSb2Pb: relaxed, PBE.

The space group is R-3m (No. 166, hexagonal axes) and the conventional cell measures 3.3793, 3.3793 and 31.1614 Å, with angles of 90.00, 90.00 and 120.00 degrees. The distinct sites, in fractional coordinates, are V at (0.0000, 0.0000, 0.0000), Sb at (0.0000, 0.0000, 0.3946) and Pb at (0.0000, 0.0000, 0.5000).

As for the crystal system: trigonal. The calculation puts the excess energy over the best structure of this formula in the dataset at 0.000 eV per atom. As for the density: 8.1 Mg/m³. As for the uncorrected formation energy: 16 meV per atom.

Record 12
VSb2Pb: relaxed, PBE.

The space group is Fm-3m (No. 225) and the conventional cell measures 7.386, 7.386 and 7.386 Å, with angles of 90.00, 90.00 and 90.00 degrees. The distinct sites, in fractional coordinates, are V at (0.000, 0.000, 0.000), Sb at (0.250, 0.250, 0.250) and Pb at (0.000, 0.000, 0.500).

As for the crystal system: cubic. The calculation puts the excess energy over the best structure of this formula in the dataset at 0.361 eV per atom. As for the density: 8.3 Mg/m³. As for the uncorrected formation energy: 377 meV per atom.